1 | A geometry-optimized As2PdI structure. Source: the Alexandria database, functional PBE.

abc: 4.902 4.902 4.902
angles: 60.00 60.00 60.00
Positions (direct):
I: 0.500 0.500 0.500
As: 0.250 0.250 0.250
As: 0.750 0.750 0.750
Pd: 0.000 0.000 0.000

- magnetization (Bohr magnetons per cell) = 0.00
- space group = No. 225

***

2 | A geometry-optimized As2PdI structure. Source: the Alexandria database, functional PBE.

abc: 6.626 6.626 7.087
angles: 62.13 62.13 90.00
Positions (direct):
I: 0.000 0.000 0.000
I: 0.750 0.250 0.500
As: 0.543 0.125 0.250
As: 0.207 0.625 0.250
As: 0.375 0.457 0.750
As: 0.875 0.793 0.750
Pd: 0.500 0.500 0.000
Pd: 0.250 0.750 0.500

- magnetization (Bohr magnetons per cell) = 0.00
- space group = No. 122

***

What should be chosen as the least stable of them? Choose 1.

***

1 | A geometry-optimized AsPd3I structure. Source: the Alexandria database, functional PBE.

abc: 4.789 4.789 4.789
angles: 90.00 90.00 90.00
Positions (direct):
I: 0.500 0.500 0.500
As: 0.000 0.000 0.000
Pd: 0.000 0.500 0.000
Pd: 0.000 0.000 0.500
Pd: 0.500 0.000 0.000

- magnetization (Bohr magnetons per cell) = 0.00
- space group = No. 221

***

2 | A geometry-optimized AsPd3I structure. Source: the Alexandria database, functional PBE.

abc: 4.985 4.985 4.985
angles: 90.00 90.00 90.00
Positions (direct):
I: 0.000 0.000 0.000
As: 0.500 0.500 0.500
Pd: 0.000 0.500 0.000
Pd: 0.000 0.000 0.500
Pd: 0.500 0.000 0.000

- magnetization (Bohr magnetons per cell) = 0.00
- space group = No. 221

***

What should be chosen as the least stable of them? Choose 2.

***

1 | A geometry-optimized As2Pd2I structure. Source: the Alexandria database, functional PBE.

abc: 4.215 4.215 6.748
angles: 71.80 71.80 90.00
Positions (direct):
I: 0.000 0.000 0.000
As: 0.750 0.250 0.500
As: 0.250 0.750 0.500
Pd: 0.373 0.373 0.254
Pd: 0.627 0.627 0.746

- magnetization (Bohr magnetons per cell) = 0.00
- space group = No. 139

***

2 | A geometry-optimized As2Pd2I structure. Source: the Alexandria database, functional PBE.

abc: 7.708 7.708 3.641
angles: 90.00 90.00 90.00
Positions (direct):
I: 0.000 0.000 0.000
I: 0.500 0.500 0.000
As: 0.117 0.617 0.500
As: 0.617 0.883 0.500
As: 0.883 0.383 0.500
As: 0.383 0.117 0.500
Pd: 0.370 0.870 0.000
Pd: 0.870 0.630 0.000
Pd: 0.630 0.130 0.000
Pd: 0.130 0.370 0.000

- magnetization (Bohr magnetons per cell) = 0.00
- space group = No. 127

***

What should be chosen as the least stable of them? Choose 2.